one:
# Er3Tm4Mg PBE optimized geometry
data_Er3Tm4Mg
_cell_length_a 3.3489
_cell_length_b 5.7783
_cell_length_c 12.7176
_cell_angle_alpha 95.61
_cell_angle_beta 97.57
_cell_angle_gamma 90.00
_symmetry_space_group_name_H-M 'P 1'
_symmetry_Int_Tables_number 1
loop_
_symmetry_equiv_pos_as_xyz
'x,y,z'
loop_
_atom_site_label
_atom_site_fract_x
_atom_site_fract_y
_atom_site_fract_z
_atom_site_occupancy
Tm1 0.8979 0.8042 0.7957 1
Tm2 0.7180 0.2370 0.4360 1
Tm3 0.1021 0.1958 0.2043 1
Tm4 0.2820 0.7630 0.5640 1
Er1 0.1506 0.7149 0.3013 1
Er2 0.0000 0.5000 0.0000 1
Er3 0.8494 0.2851 0.6987 1
Mg1 0.5000 0.0000 0.0000 1
# density: 8.22 g/cm³
# total moment: 0.00 μB/f.u.
# N(E_F): 1.4980 states/eV/atom


two:
# Er3Tm4Mg PBE optimized geometry
data_Er3Tm4Mg
_cell_length_a 6.0935
_cell_length_b 6.9927
_cell_length_c 11.0837
_cell_angle_alpha 90.00
_cell_angle_beta 90.00
_cell_angle_gamma 90.00
_symmetry_space_group_name_H-M 'P 1'
_symmetry_Int_Tables_number 1
loop_
_symmetry_equiv_pos_as_xyz
'x,y,z'
loop_
_atom_site_label
_atom_site_fract_x
_atom_site_fract_y
_atom_site_fract_z
_atom_site_occupancy
Tm1 0.1586 0.8768 0.0000 1
Tm2 0.4864 0.8742 0.2534 1
Tm3 0.6586 0.1232 0.5000 1
Tm4 0.6427 0.1242 0.0000 1
Tm5 0.1427 0.8758 0.5000 1
Tm6 0.9864 0.1258 0.2466 1
Tm7 0.9864 0.1258 0.7534 1
Tm8 0.4864 0.8742 0.7466 1
Er1 0.9778 0.6225 0.2457 1
Er2 0.1387 0.3718 0.5000 1
Er3 0.4778 0.3775 0.2543 1
Er4 0.6387 0.6282 0.0000 1
Er5 0.4778 0.3775 0.7457 1
Er6 0.9778 0.6225 0.7543 1
Mg1 0.6468 0.6241 0.5000 1
Mg2 0.1468 0.3759 0.0000 1
# density: 8.45 g/cm³
# total moment: 0.00 μB/f.u.
# N(E_F): 1.4147 states/eV/atom


Which structure is most stable? two, by 237 meV/atom over the runner-up.


one:
# Er7Tm12Mg PBE optimized geometry
data_Er7Tm12Mg
_cell_length_a 10.2658
_cell_length_b 10.2658
_cell_length_c 10.2658
_cell_angle_alpha 109.47
_cell_angle_beta 109.47
_cell_angle_gamma 109.47
_symmetry_space_group_name_H-M 'P 1'
_symmetry_Int_Tables_number 1
loop_
_symmetry_equiv_pos_as_xyz
'x,y,z'
loop_
_atom_site_label
_atom_site_fract_x
_atom_site_fract_y
_atom_site_fract_z
_atom_site_occupancy
Tm1 0.3592 0.2619 0.6211 1
Tm2 0.2619 0.6211 0.3592 1
Tm3 0.7381 0.0973 0.3592 1
Tm4 0.0973 0.3592 0.7381 1
Tm5 0.2619 0.9027 0.6408 1
Tm6 0.3789 0.6408 0.7381 1
Tm7 0.7381 0.3789 0.6408 1
Tm8 0.6408 0.2619 0.9027 1
Tm9 0.3592 0.7381 0.0973 1
Tm10 0.9027 0.6408 0.2619 1
Tm11 0.6408 0.7381 0.3789 1
Tm12 0.6211 0.3592 0.2619 1
Er1 0.5000 0.5000 0.5000 1
Er2 0.0000 0.5000 0.0000 1
Er3 0.5000 0.0000 0.5000 1
Er4 0.0000 0.0000 0.5000 1
Er5 0.5000 0.5000 0.0000 1
Er6 0.0000 0.5000 0.5000 1
Er7 0.5000 0.0000 0.0000 1
Mg1 0.0000 0.0000 0.0000 1
# density: 6.42 g/cm³
# total moment: 0.00 μB/f.u.
# N(E_F): 1.4227 states/eV/atom


two:
# Er7Tm12Mg PBE optimized geometry
data_Er7Tm12Mg
_cell_length_a 8.5570
_cell_length_b 8.5570
_cell_length_c 8.5570
_cell_angle_alpha 86.38
_cell_angle_beta 86.38
_cell_angle_gamma 86.38
_symmetry_space_group_name_H-M 'P 1'
_symmetry_Int_Tables_number 1
loop_
_symmetry_equiv_pos_as_xyz
'x,y,z'
loop_
_atom_site_label
_atom_site_fract_x
_atom_site_fract_y
_atom_site_fract_z
_atom_site_occupancy
Tm1 0.1366 0.4978 0.6176 1
Tm2 0.2625 0.1447 0.7504 1
Tm3 0.8553 0.2496 0.7375 1
Tm4 0.4978 0.6176 0.1366 1
Tm5 0.1447 0.7504 0.2625 1
Tm6 0.6176 0.1366 0.4978 1
Tm7 0.3824 0.8634 0.5022 1
Tm8 0.7375 0.8553 0.2496 1
Tm9 0.7504 0.2625 0.1447 1
Tm10 0.2496 0.7375 0.8553 1
Tm11 0.8634 0.5022 0.3824 1
Tm12 0.5022 0.3824 0.8634 1
Er1 0.1510 0.3978 0.0733 1
Er2 0.8490 0.6022 0.9267 1
Er3 0.3978 0.0733 0.1510 1
Er4 0.9267 0.8490 0.6022 1
Er5 0.5000 0.5000 0.5000 1
Er6 0.6022 0.9267 0.8490 1
Er7 0.0733 0.1510 0.3978 1
Mg1 0.0000 0.0000 0.0000 1
# density: 8.59 g/cm³
# total moment: 0.00 μB/f.u.
# N(E_F): 1.5450 states/eV/atom


Which structure is most stable? two, by 612 meV/atom over the runner-up.


one:
# Er7Tm2Mg2 PBE optimized geometry
data_Er7Tm2Mg2
_cell_length_a 9.1031
_cell_length_b 9.1407
_cell_length_c 9.1483
_cell_angle_alpha 148.64
_cell_angle_beta 92.79
_cell_angle_gamma 69.98
_symmetry_space_group_name_H-M 'P 1'
_symmetry_Int_Tables_number 1
loop_
_symmetry_equiv_pos_as_xyz
'x,y,z'
loop_
_atom_site_label
_atom_site_fract_x
_atom_site_fract_y
_atom_site_fract_z
_atom_site_occupancy
Er1 0.6368 0.1367 0.0896 1
Er2 0.3632 0.8633 0.9104 1
Er3 0.4547 0.9522 0.6376 1
Er4 0.1802 0.6825 0.4571 1
Er5 0.0000 0.5000 0.0000 1
Er6 0.5453 0.0478 0.3624 1
Er7 0.8198 0.3175 0.5429 1
Mg1 0.0884 0.5939 0.7293 1
Mg2 0.9116 0.4061 0.2707 1
Tm1 0.7246 0.2328 0.8168 1
Tm2 0.2754 0.7672 0.1832 1
# density: 8.01 g/cm³
# total moment: 0.00 μB/f.u.
# N(E_F): 1.5583 states/eV/atom


two:
# Er7Tm2Mg2 PBE optimized geometry
data_Er7Tm2Mg2
_cell_length_a 5.5849
_cell_length_b 8.0470
_cell_length_c 8.0470
_cell_angle_alpha 85.90
_cell_angle_beta 73.81
_cell_angle_gamma 73.81
_symmetry_space_group_name_H-M 'P 1'
_symmetry_Int_Tables_number 1
loop_
_symmetry_equiv_pos_as_xyz
'x,y,z'
loop_
_atom_site_label
_atom_site_fract_x
_atom_site_fract_y
_atom_site_fract_z
_atom_site_occupancy
Er1 0.8155 0.9844 0.3970 1
Er2 0.6728 0.7813 0.7813 1
Er3 0.0000 0.0000 0.0000 1
Er4 0.1845 0.0156 0.6030 1
Er5 0.3272 0.2187 0.2187 1
Er6 0.1845 0.6030 0.0156 1
Er7 0.8155 0.3970 0.9844 1
Tm1 0.5000 0.7800 0.2200 1
Tm2 0.5000 0.2200 0.7800 1
Mg1 0.2140 0.5568 0.5568 1
Mg2 0.7860 0.4432 0.4432 1
# density: 7.75 g/cm³
# total moment: 0.00 μB/f.u.
# N(E_F): 1.2355 states/eV/atom


Which structure is most stable? one, by 157 meV/atom over the runner-up.


one:
# Er2TmMg PBE optimized geometry
data_Er2TmMg
_cell_length_a 3.4736
_cell_length_b 3.4736
_cell_length_c 11.2850
_cell_angle_alpha 81.15
_cell_angle_beta 81.15
_cell_angle_gamma 60.00
_symmetry_space_group_name_H-M 'P 1'
_symmetry_Int_Tables_number 1
loop_
_symmetry_equiv_pos_as_xyz
'x,y,z'
loop_
_atom_site_label
_atom_site_fract_x
_atom_site_fract_y
_atom_site_fract_z
_atom_site_occupancy
Er1 0.2520 0.2520 0.2441 1
Er2 0.7480 0.7480 0.7559 1
Tm1 0.5000 0.5000 0.5000 1
Mg1 0.0000 0.0000 0.0000 1
# density: 7.55 g/cm³
# total moment: 0.00 μB/f.u.
# N(E_F): 1.2400 states/eV/atom


two:
# Er2TmMg PBE optimized geometry
data_Er2TmMg
_cell_length_a 5.4388
_cell_length_b 5.4388
_cell_length_c 5.4388
_cell_angle_alpha 60.00
_cell_angle_beta 60.00
_cell_angle_gamma 60.00
_symmetry_space_group_name_H-M 'P 1'
_symmetry_Int_Tables_number 1
loop_
_symmetry_equiv_pos_as_xyz
'x,y,z'
loop_
_atom_site_label
_atom_site_fract_x
_atom_site_fract_y
_atom_site_fract_z
_atom_site_occupancy
Er1 0.2500 0.2500 0.2500 1
Er2 0.7500 0.7500 0.7500 1
Mg1 0.5000 0.5000 0.5000 1
Tm1 0.0000 0.0000 0.0000 1
# density: 7.70 g/cm³
# total moment: 0.00 μB/f.u.
# N(E_F): 1.0151 states/eV/atom


Which structure is most stable? one, by 28 meV/atom over the runner-up.


one:
# Er2TmMg PBE optimized geometry
data_Er2TmMg
_cell_length_a 4.9876
_cell_length_b 4.9876
_cell_length_c 9.8889
_cell_angle_alpha 104.55
_cell_angle_beta 104.55
_cell_angle_gamma 90.08
_symmetry_space_group_name_H-M 'P 1'
_symmetry_Int_Tables_number 1
loop_
_symmetry_equiv_pos_as_xyz
'x,y,z'
loop_
_atom_site_label
_atom_site_fract_x
_atom_site_fract_y
_atom_site_fract_z
_atom_site_occupancy
Er1 0.1302 0.1302 0.7605 1
Er2 0.8698 0.8698 0.2395 1
Er3 0.5000 0.0000 0.5000 1
Er4 0.0000 0.5000 0.5000 1
Mg1 0.2500 0.7500 0.0000 1
Mg2 0.7500 0.2500 0.0000 1
Tm1 0.6306 0.6306 0.7613 1
Tm2 0.3694 0.3694 0.2387 1
# density: 7.62 g/cm³
# total moment: 0.00 μB/f.u.
# N(E_F): 1.0257 states/eV/atom


two:
# Er2TmMg PBE optimized geometry
data_Er2TmMg
_cell_length_a 3.4394
_cell_length_b 3.4394
_cell_length_c 11.5268
_cell_angle_alpha 81.42
_cell_angle_beta 81.42
_cell_angle_gamma 60.00
_symmetry_space_group_name_H-M 'P 1'
_symmetry_Int_Tables_number 1
loop_
_symmetry_equiv_pos_as_xyz
'x,y,z'
loop_
_atom_site_label
_atom_site_fract_x
_atom_site_fract_y
_atom_site_fract_z
_atom_site_occupancy
Er1 0.0833 0.0833 0.7502 1
Er2 0.2500 0.2500 0.2500 1
Tm1 0.6668 0.6668 0.9997 1
Mg1 0.5000 0.5000 0.5001 1
# density: 7.53 g/cm³
# total moment: 0.00 μB/f.u.
# N(E_F): 1.4022 states/eV/atom


Which structure is most stable? one, by 70 meV/atom over the runner-up.